Computed, not measured: Ca3YGe after structural relaxation at the PBE level of DFT.

DFT formation energy in eV per formula unit: 5.29
Symmetry: No. 221
Crystal system: cubic

a = 6.0145 Å, b = 6.0145 Å, c = 6.0145 Å
α = 90.00°, β = 90.00°, γ = 90.00°
Atoms (fractional coordinates):
Y 0.0000 0.0000 0.0000
Ca 0.0000 0.0000 0.5000
Ca 0.5000 0.0000 0.0000
Ge 0.5000 0.5000 0.5000
Ca 0.0000 0.5000 0.0000


Computed, not measured: Ca2YGe after structural relaxation at the PBE level of DFT.

DFT formation energy in eV per formula unit: -0.27
Symmetry: No. 122
Crystal system: tetragonal

a = 9.5106 Å, b = 9.5106 Å, c = 7.3657 Å
α = 49.79°, β = 49.79°, γ = 90.00°
Atoms (fractional coordinates):
Ca 0.2138 0.6250 0.2500
Ge 0.2500 0.7500 0.5000
Ge 0.5000 0.5000 0.0000
Y 0.0000 0.0000 0.0000
Y 0.7500 0.2500 0.5000
Ca 0.5362 0.1250 0.2500
Ca 0.8750 0.7862 0.7500
Ca 0.3750 0.4638 0.7500


Computed, not measured: Ca3Y3Ge4 after structural relaxation at the PBE level of DFT.

DFT formation energy in eV per formula unit: -7.01
Symmetry: No. 38
Crystal system: orthorhombic

a = 4.3234 Å, b = 7.6675 Å, c = 7.6675 Å
α = 90.88°, β = 90.00°, γ = 90.00°
Atoms (fractional coordinates):
Ge 0.0000 0.1147 0.1265
Ca 0.0000 0.4962 0.9982
Ca 0.5000 0.1743 0.8257
Ge 0.0000 0.6231 0.3769
Ca 0.0000 0.0018 0.5038
Y 0.5000 0.6761 0.6742
Y 0.5000 0.3258 0.3239
Ge 0.0000 0.8735 0.8853
Ge 0.0000 0.3891 0.6109
Y 0.5000 0.8253 0.1747


Question: Number 1 is which compound?
Answer: Ca3YGe


Question: Look up the DFT formation energy of the first one.
Answer: 5.29 eV per formula unit


Question: The highest DFT formation energy belongs to which entry?
Answer: Ca3YGe